No. 1
DFT (PBE) results for crystalline ReIrPt2 at its relaxed geometry. Values from VASP.

Geometry as Quantum ESPRESSO input:
```
&SYSTEM
  ibrav = 0, nat = 4, ntyp = 3
/
ATOMIC_SPECIES
Ir 192.22 Ir.upf
Pt 195.08 Pt.upf
Re 186.21 Re.upf
ATOMIC_POSITIONS angstrom
Ir 1.341 -1.657 5.003
Pt 0.000 0.000 0.000
Pt 0.671 -0.828 2.502
Re 2.012 -2.485 7.505
CELL_PARAMETERS angstrom
-1.588 -1.408 3.900
2.228 -3.051 2.333
2.042 1.146 3.773
```

***

No. 2
DFT (PBE) results for crystalline Re2IrPt at its relaxed geometry. Values from VASP.

Geometry as Quantum ESPRESSO input:
```
&SYSTEM
  ibrav = 0, nat = 4, ntyp = 3
/
ATOMIC_SPECIES
Ir 192.22 Ir.upf
Pt 195.08 Pt.upf
Re 186.21 Re.upf
ATOMIC_POSITIONS angstrom
Ir 13.415 2.045 1.199
Pt 19.990 3.047 1.787
Re 26.645 4.062 2.381
Re 6.654 1.014 0.595
CELL_PARAMETERS angstrom
9.172 -0.002 -0.001
8.755 2.735 -0.001
8.755 1.335 2.387
```

***

No. 3
DFT (PBE) results for crystalline ReIrPt at its relaxed geometry. Values from VASP.

Geometry as Quantum ESPRESSO input:
```
&SYSTEM
  ibrav = 0, nat = 6, ntyp = 3
/
ATOMIC_SPECIES
Re 186.21 Re.upf
Ir 192.22 Ir.upf
Pt 195.08 Pt.upf
ATOMIC_POSITIONS angstrom
Re 1.121 -4.979 -0.168
Re -2.884 -2.080 -0.737
Ir -1.474 -5.932 -0.286
Ir -0.288 -1.127 -0.619
Pt -0.983 -3.447 0.926
Pt -0.780 -3.612 -1.831
CELL_PARAMETERS angstrom
-2.822 -0.724 2.631
-2.363 -1.200 -2.865
3.422 -5.135 -0.671
```

***

No. 4
DFT (PBE) results for crystalline Re2IrPt at its relaxed geometry. Values from VASP.

Geometry as Quantum ESPRESSO input:
```
&SYSTEM
  ibrav = 0, nat = 8, ntyp = 3
/
ATOMIC_SPECIES
Re 186.21 Re.upf
Ir 192.22 Ir.upf
Pt 195.08 Pt.upf
ATOMIC_POSITIONS angstrom
Re 4.482 1.508 1.183
Re 1.549 4.523 1.183
Re 4.523 4.564 3.550
Re 7.539 7.498 3.550
Ir 3.016 3.016 0.000
Ir 3.016 6.031 2.367
Pt 0.000 0.000 0.000
Pt 6.031 3.016 2.367
CELL_PARAMETERS angstrom
6.031 0.000 0.000
0.000 6.031 0.000
3.016 3.016 4.733
```

***

No. 5
DFT (PBE) results for crystalline ReIrPt2 at its relaxed geometry. Values from VASP.

Geometry as Quantum ESPRESSO input:
```
&SYSTEM
  ibrav = 0, nat = 4, ntyp = 3
/
ATOMIC_SPECIES
Ir 192.22 Ir.upf
Pt 195.08 Pt.upf
Re 186.21 Re.upf
ATOMIC_POSITIONS angstrom
Ir -1.023 -1.790 -1.869
Pt 0.000 0.000 0.000
Pt -2.725 -0.412 -0.152
Re -1.312 -1.329 2.063
CELL_PARAMETERS angstrom
-3.014 0.049 3.780
-2.435 -0.873 -4.084
0.390 -2.707 0.346
```

***

No. 6
DFT (PBE) results for crystalline ReIrPt2 at its relaxed geometry. Values from VASP.

Geometry as Quantum ESPRESSO input:
```
&SYSTEM
  ibrav = 0, nat = 4, ntyp = 3
/
ATOMIC_SPECIES
Re 186.21 Re.upf
Ir 192.22 Ir.upf
Pt 195.08 Pt.upf
ATOMIC_POSITIONS angstrom
Re 0.764 -3.706 1.443
Ir -0.490 -6.041 1.198
Pt 1.498 -7.266 2.828
Pt -1.203 -2.585 -0.147
CELL_PARAMETERS angstrom
-2.652 -0.275 0.699
-0.541 -1.077 -2.479
1.505 -7.298 2.841
```

***

No. 7
DFT (PBE) results for crystalline ReIrPt2 at its relaxed geometry. Values from VASP.

Geometry as Quantum ESPRESSO input:
```
&SYSTEM
  ibrav = 0, nat = 4, ntyp = 3
/
ATOMIC_SPECIES
Re 186.21 Re.upf
Ir 192.22 Ir.upf
Pt 195.08 Pt.upf
ATOMIC_POSITIONS angstrom
Re 0.000 0.000 0.000
Ir -4.257 2.864 -1.784
Pt -2.128 1.432 -0.892
Pt -6.385 4.297 -2.676
CELL_PARAMETERS angstrom
-3.923 -0.242 -2.055
-3.302 2.707 1.199
-1.288 3.264 -2.712
```

***

No. 8
DFT (PBE) results for crystalline ReIrPt2 at its relaxed geometry. Values from VASP.

Geometry as Quantum ESPRESSO input:
```
&SYSTEM
  ibrav = 0, nat = 4, ntyp = 3
/
ATOMIC_SPECIES
Re 186.21 Re.upf
Ir 192.22 Ir.upf
Pt 195.08 Pt.upf
ATOMIC_POSITIONS angstrom
Re -1.589 -5.280 -0.561
Ir -0.707 -2.677 -0.281
Pt -3.079 -10.592 -1.122
Pt -2.341 -7.963 -0.844
CELL_PARAMETERS angstrom
-3.094 -3.561 0.944
-3.010 -3.295 -1.796
3.018 -3.749 -0.271
```

***

No. 9
DFT (PBE) results for crystalline ReIrPt2 at its relaxed geometry. Values from VASP.

Geometry as Quantum ESPRESSO input:
```
&SYSTEM
  ibrav = 0, nat = 4, ntyp = 3
/
ATOMIC_SPECIES
Re 186.21 Re.upf
Ir 192.22 Ir.upf
Pt 195.08 Pt.upf
ATOMIC_POSITIONS angstrom
Re 2.424 -0.512 1.426
Ir 2.325 -2.280 3.465
Pt 4.732 -0.999 2.783
Pt 0.060 -1.801 2.132
CELL_PARAMETERS angstrom
-1.258 0.649 2.372
-1.059 -3.737 0.460
4.743 -1.001 2.789
```

***

No. 10
DFT (PBE) results for crystalline ReIrPt at its relaxed geometry. Values from VASP.

Geometry as Quantum ESPRESSO input:
```
&SYSTEM
  ibrav = 0, nat = 3, ntyp = 3
/
ATOMIC_SPECIES
Ir 192.22 Ir.upf
Pt 195.08 Pt.upf
Re 186.21 Re.upf
ATOMIC_POSITIONS angstrom
Ir 1.226 -6.360 1.874
Pt -1.130 -2.520 0.504
Re -0.133 -4.160 2.530
CELL_PARAMETERS angstrom
-0.390 0.703 2.640
-2.130 -0.861 -1.528
1.241 -6.441 1.898
```

***

No. 11
DFT (PBE) results for crystalline ReIrPt2 at its relaxed geometry. Values from VASP.

Geometry as Quantum ESPRESSO input:
```
&SYSTEM
  ibrav = 0, nat = 4, ntyp = 3
/
ATOMIC_SPECIES
Ir 192.22 Ir.upf
Pt 195.08 Pt.upf
Re 186.21 Re.upf
ATOMIC_POSITIONS angstrom
Ir 1.383 1.986 4.118
Pt 0.000 0.000 0.035
Pt 0.000 0.000 2.711
Re 1.383 1.986 1.373
CELL_PARAMETERS angstrom
2.766 0.000 0.000
0.000 3.972 0.000
0.000 0.000 5.491
```

***

No. 12
DFT (PBE) results for crystalline ReIrPt2 at its relaxed geometry. Values from VASP.

Geometry as Quantum ESPRESSO input:
```
&SYSTEM
  ibrav = 0, nat = 4, ntyp = 3
/
ATOMIC_SPECIES
Ir 192.22 Ir.upf
Pt 195.08 Pt.upf
Re 186.21 Re.upf
ATOMIC_POSITIONS angstrom
Ir 0.000 1.955 1.978
Pt 0.000 0.000 0.000
Pt 1.955 1.955 0.000
Re 1.955 0.000 1.978
CELL_PARAMETERS angstrom
3.910 0.000 0.000
0.000 3.910 0.000
0.000 0.000 3.955
```

***

Number 1: N(E_F) 6.907 states/eV/f.u., spin magnetization 0.000 Bohr magnetons per cell, distance to the lowest polymorph of the same formula 500 meV/atom. Number 2: N(E_F) 5.521 states/eV/f.u., spin magnetization 0.000 Bohr magnetons per cell, distance to the lowest polymorph of the same formula 127 meV/atom. Number 3: N(E_F) 1.904 states/eV/f.u., spin magnetization 0.000 Bohr magnetons per cell, distance to the lowest polymorph of the same formula 15 meV/atom. Number 4: N(E_F) 4.103 states/eV/f.u., spin magnetization 0.000 Bohr magnetons per cell, distance to the lowest polymorph of the same formula 1271 meV/atom. Number 5: N(E_F) 5.123 states/eV/f.u., spin magnetization 0.000 Bohr magnetons per cell, distance to the lowest polymorph of the same formula 221 meV/atom. Number 6: N(E_F) 2.808 states/eV/f.u., spin magnetization 0.000 Bohr magnetons per cell, distance to the lowest polymorph of the same formula 0 meV/atom. Number 7: N(E_F) 5.267 states/eV/f.u., spin magnetization 0.000 Bohr magnetons per cell, distance to the lowest polymorph of the same formula 511 meV/atom. Number 8: N(E_F) 4.962 states/eV/f.u., spin magnetization 0.000 Bohr magnetons per cell, distance to the lowest polymorph of the same formula 96 meV/atom. Number 9: N(E_F) 2.941 states/eV/f.u., spin magnetization 0.000 Bohr magnetons per cell, distance to the lowest polymorph of the same formula 45 meV/atom. Number 10: N(E_F) 2.569 states/eV/f.u., spin magnetization 0.000 Bohr magnetons per cell, distance to the lowest polymorph of the same formula 57 meV/atom. Number 11: N(E_F) 4.198 states/eV/f.u., spin magnetization 0.000 Bohr magnetons per cell, distance to the lowest polymorph of the same formula 169 meV/atom. Number 12: N(E_F) 6.565 states/eV/f.u., spin magnetization 0.000 Bohr magnetons per cell, distance to the lowest polymorph of the same formula 253 meV/atom.